[1]
LaSm2HoEr5 | PBE | optimized geometry

Calculated values
Energy relative to the elements = 0.27 eV/atom
VASP energy = -4.37 eV/atom

Cell lengths 8.754, 8.754, 9.828 Å; angles 116.45, 116.45, 90.00 degrees
Fractional coordinates of all 18 atoms:
1 Sm 0.616 0.116 0.000
2 Er 0.073 0.573 0.730
3 Er 0.343 0.843 0.270
4 Er 0.573 0.657 0.730
5 Er 0.927 0.427 0.270
6 La 0.750 0.750 0.500
7 La 0.250 0.250 0.500
8 Er 0.657 0.157 0.730
9 Er 0.157 0.073 0.730
10 Er 0.000 0.000 0.000
11 Ho 0.250 0.750 0.500
12 Er 0.843 0.927 0.270
13 Er 0.427 0.343 0.270
14 Er 0.500 0.500 0.000
15 Sm 0.884 0.616 0.000
16 Sm 0.384 0.884 0.000
17 Sm 0.116 0.384 0.000
18 Ho 0.750 0.250 0.500


[2]
Rb4Sm3SiO8 | PBE | optimized geometry

Calculated values
Formation energy (no corrections) = -35.9 eV per formula unit
VASP energy = -6.19 eV/atom

Cell lengths 6.915, 7.699, 6.916 Å; angles 116.70, 120.00, 90.00 degrees
Fractional coordinates of all 16 atoms:
1 Si 0.000 0.500 0.000
2 O 0.729 0.687 0.458
3 O 0.811 0.342 0.621
4 Rb 0.500 0.000 0.500
5 O 0.190 0.658 0.969
6 Rb 0.000 0.000 0.000
7 Sm 0.500 0.500 0.000
8 O 0.221 0.342 0.031
9 O 0.271 0.313 0.542
10 Sm 0.000 0.500 0.500
11 O 0.810 0.342 0.031
12 Rb 0.000 0.000 0.500
13 Rb 0.500 0.000 0.000
14 O 0.189 0.658 0.379
15 O 0.779 0.658 0.969
16 Sm 0.500 0.500 0.500